Computed, not measured: SrCe3Ir8 after structural relaxation at the PBE-GGA level of DFT.

Cell lengths 9.370, 9.370, 9.370 Å; angles 33.62, 33.62, 33.62 degrees
Sites, in units of the cell vectors:
Sr: 0.000 0.000 0.000
Ce: 0.373 0.373 0.373
Ce: 0.498 0.498 0.498
Ce: 0.876 0.876 0.876
Ir: 0.187 0.187 0.187
Ir: 0.437 0.437 0.932
Ir: 0.437 0.932 0.437
Ir: 0.441 0.937 0.937
Ir: 0.687 0.687 0.687
Ir: 0.932 0.437 0.437
Ir: 0.937 0.441 0.937
Ir: 0.937 0.937 0.441

- Formation energy from the elements: -7.90 eV/f.u.